(1)
VASP calculation (GGA-PBEsol) on crystalline LaMg at its relaxed geometry.

Total magnetization, μB/cell: 0.00
Energy above the most stable polymorph in this dataset, kJ/mol of formula units: 5.6
DOS at the Fermi energy, states/eV/cell: 3.56
Space group: Imma, No. 74

Cell: 3.790 5.596 6.464 Å, 115.65 107.05 90.00°
Fractional coordinates of all 4 atoms:
Mg1 0.855 0.105 0.710
Mg2 0.145 0.895 0.290
La1 0.381 0.631 0.762
La2 0.619 0.369 0.238



(2)
VASP calculation (GGA-PBEsol) on crystalline La2Mg at its relaxed geometry.

Total magnetization, μB/cell: 0.00
Energy above the most stable polymorph in this dataset, kJ/mol of formula units: 2.6
DOS at the Fermi energy, states/eV/cell: 7.45
Space group: C2/c, No. 15

Cell: 6.084 6.084 6.585 Å, 63.51 63.51 61.47°
Fractional coordinates of all 6 atoms:
Mg1 0.083 0.917 0.250
Mg2 0.917 0.083 0.750
La1 0.244 0.419 0.752
La2 0.581 0.756 0.748
La3 0.419 0.244 0.252
La4 0.756 0.581 0.248



(3)
VASP calculation (GGA-PBEsol) on crystalline LaMg3 at its relaxed geometry.

Total magnetization, μB/cell: 0.00
Final energy, eV/atom: -2.70
DOS at the Fermi energy, states/eV/cell: 6.36
Space group: I4/mmm, No. 139

Cell: 5.054 5.054 9.010 Å, 106.29 106.29 90.00°
Fractional coordinates of all 8 atoms:
Mg1 0.500 0.000 0.000
Mg2 0.000 0.500 0.000
Mg3 0.750 0.250 0.500
Mg4 0.250 0.750 0.500
Mg5 0.134 0.134 0.267
Mg6 0.866 0.866 0.733
La1 0.364 0.364 0.728
La2 0.636 0.636 0.272



(4)
VASP calculation (GGA-PBEsol) on crystalline La2Mg at its relaxed geometry.

Total magnetization, μB/cell: 0.00
Energy above the most stable polymorph in this dataset, kJ/mol of formula units: 8.6
DOS at the Fermi energy, states/eV/cell: 2.80
Space group: P-3m1, No. 164

Cell: 3.531 5.455 5.455 Å, 120.00 90.00 90.00°
Fractional coordinates of all 3 atoms:
Mg1 0.000 0.000 0.000
La1 0.686 0.333 0.667
La2 0.314 0.667 0.333



(5)
VASP calculation (GGA-PBEsol) on crystalline LaMg at its relaxed geometry.

Total magnetization, μB/cell: 0.00
Energy above the most stable polymorph in this dataset, kJ/mol of formula units: 15.9
DOS at the Fermi energy, states/eV/cell: 5.45
Space group: I4_1/amd, No. 141

Cell: 4.782 4.782 6.130 Å, 112.96 112.96 90.00°
Fractional coordinates of all 4 atoms:
Mg1 0.750 0.250 0.500
Mg2 0.500 0.500 0.000
La1 0.250 0.750 0.500
La2 0.000 0.000 0.000



(6)
VASP calculation (GGA-PBEsol) on crystalline La2Mg at its relaxed geometry.

Total magnetization, μB/cell: 0.00
Energy above the most stable polymorph in this dataset, kJ/mol of formula units: 0.0
DOS at the Fermi energy, states/eV/cell: 3.49
Space group: I4/mmm, No. 139

Cell: 3.909 3.909 6.748 Å, 106.84 106.84 90.00°
Fractional coordinates of all 3 atoms:
Mg1 0.000 0.000 0.000
La1 0.343 0.343 0.686
La2 0.657 0.657 0.314



Please write out number 4 again, unchanged.
VASP calculation (GGA-PBEsol) on crystalline La2Mg at its relaxed geometry.

Total magnetization, μB/cell: 0.00
Energy above the most stable polymorph in this dataset, kJ/mol of formula units: 8.6
DOS at the Fermi energy, states/eV/cell: 2.80
Space group: P-3m1, No. 164

Cell: 3.531 5.455 5.455 Å, 120.00 90.00 90.00°
Fractional coordinates of all 3 atoms:
Mg1 0.000 0.000 0.000
La1 0.686 0.333 0.667
La2 0.314 0.667 0.333